1.
Entry from OQMD via LeMat-Bulk: a geometry-optimized KCoAgTeSe2 structure (PBE).

Cell and atoms, written as POSCAR:
```
KCoAgTeSe2
1.0
1.822 -8.021 0.000
1.822 8.021 0.000
0.000 0.000 10.437
K Co Ag Te Se
2 2 2 2 4
direct
0.247 0.753 0.750 K
0.753 0.247 0.250 K
0.000 0.000 0.000 Co
0.000 0.000 0.500 Co
0.426 0.574 0.250 Ag
0.574 0.426 0.750 Ag
0.063 0.937 0.250 Te
0.937 0.063 0.750 Te
0.398 0.602 0.012 Se
0.398 0.602 0.488 Se
0.602 0.398 0.512 Se
0.602 0.398 0.988 Se
```

Raw total energy   -45.6 eV for the cell shown

***

2.
Entry from OQMD via LeMat-Bulk: a geometry-optimized LaCoSi2Ag structure (PBE).

Cell and atoms, written as POSCAR:
```
LaCoSi2Ag
1.0
-2.105 2.105 5.075
2.105 -2.105 5.075
2.105 2.105 -5.075
La Co Si Ag
1 1 2 1
direct
0.000 0.000 0.000 La
0.250 0.750 0.500 Co
0.381 0.381 0.000 Si
0.619 0.619 0.000 Si
0.750 0.250 0.500 Ag
```

Raw total energy   -28.0 eV for the cell shown

***

3.
Entry from OQMD via LeMat-Bulk: a geometry-optimized LiCoAgPb structure (PBE).

Cell and atoms, written as POSCAR:
```
LiCoAgPb
1.0
0.000 3.192 3.192
3.192 0.000 3.192
3.192 3.192 0.000
Li Co Ag Pb
1 1 1 1
direct
0.000 0.000 0.000 Li
0.500 0.500 0.500 Co
0.750 0.750 0.750 Ag
0.250 0.250 0.250 Pb
```

Excess energy over the best structure of this formula in the dataset   0.00 eV/f.u.
Raw total energy   -15.2 eV for the cell shown

***

4.
Entry from OQMD via LeMat-Bulk: a geometry-optimized LiCoReAg structure (PBE).

Cell and atoms, written as POSCAR:
```
LiCoReAg
1.0
0.000 2.948 2.948
2.948 0.000 2.948
2.948 2.948 0.000
Li Co Re Ag
1 1 1 1
direct
0.000 0.000 0.000 Li
0.500 0.500 0.500 Co
0.250 0.250 0.250 Re
0.750 0.750 0.750 Ag
```

Excess energy over the best structure of this formula in the dataset   0.00 eV/f.u.
Raw total energy   -22.5 eV for the cell shown

***

5.
Entry from OQMD via LeMat-Bulk: a geometry-optimized LiCoAgS3 structure (PBE).

Cell and atoms, written as POSCAR:
```
LiCoAgS3
1.0
1.641 -6.559 0.000
1.641 6.559 0.000
0.000 0.000 9.385
Li Co Ag S
2 2 2 6
direct
0.185 0.815 0.750 Li
0.815 0.185 0.250 Li
0.500 0.500 0.000 Co
0.500 0.500 0.500 Co
0.138 0.862 0.250 Ag
0.862 0.138 0.750 Ag
0.120 0.880 0.001 S
0.120 0.880 0.499 S
0.458 0.542 0.250 S
0.542 0.458 0.750 S
0.880 0.120 0.501 S
0.880 0.120 0.999 S
```

Raw total energy   -51.5 eV for the cell shown

***

6.
Entry from OQMD via LeMat-Bulk: a geometry-optimized LiCoAgSe2S structure (PBE).

Cell and atoms, written as POSCAR:
```
LiCoAgSe2S
1.0
1.765 -6.154 0.000
1.765 6.154 0.000
0.000 0.000 9.879
Li Co Ag Se S
2 2 2 4 2
direct
0.204 0.796 0.750 Li
0.796 0.204 0.250 Li
0.500 0.500 0.000 Co
0.500 0.500 0.500 Co
0.109 0.891 0.250 Ag
0.891 0.109 0.750 Ag
0.132 0.868 0.000 Se
0.132 0.868 0.500 Se
0.868 0.132 0.000 Se
0.868 0.132 0.500 Se
0.446 0.554 0.250 S
0.554 0.446 0.750 S
```

Raw total energy   -48.5 eV for the cell shown

***

7.
Entry from OQMD via LeMat-Bulk: a geometry-optimized LiCoAgTe2S structure (PBE).

Cell and atoms, written as POSCAR:
```
LiCoAgTe2S
1.0
1.895 -6.251 0.000
1.895 6.251 0.000
0.000 0.000 10.580
Li Co Ag Te S
2 2 2 4 2
direct
0.208 0.792 0.750 Li
0.792 0.208 0.250 Li
0.500 0.500 0.000 Co
0.500 0.500 0.500 Co
0.080 0.920 0.250 Ag
0.920 0.080 0.750 Ag
0.137 0.863 0.007 Te
0.137 0.863 0.493 Te
0.863 0.137 0.507 Te
0.863 0.137 0.993 Te
0.436 0.564 0.250 S
0.564 0.436 0.750 S
```

Raw total energy   -46.0 eV for the cell shown

***

8.
Entry from OQMD via LeMat-Bulk: a geometry-optimized LiCoAgTe2Se structure (PBE).

Cell and atoms, written as POSCAR:
```
LiCoAgTe2Se
1.0
1.900 -6.373 0.000
1.900 6.373 0.000
0.000 0.000 10.558
Li Co Ag Te Se
2 2 2 4 2
direct
0.229 0.771 0.750 Li
0.771 0.229 0.250 Li
0.500 0.500 0.000 Co
0.500 0.500 0.500 Co
0.092 0.908 0.250 Ag
0.908 0.092 0.750 Ag
0.135 0.865 0.003 Te
0.135 0.865 0.497 Te
0.865 0.135 0.503 Te
0.865 0.135 0.997 Te
0.437 0.563 0.250 Se
0.563 0.437 0.750 Se
```

Raw total energy   -45.2 eV for the cell shown

***

9.
Entry from OQMD via LeMat-Bulk: a geometry-optimized LiCoAgTeSe2 structure (PBE).

Cell and atoms, written as POSCAR:
```
LiCoAgTeSe2
1.0
1.749 -6.886 0.000
1.749 6.886 0.000
0.000 0.000 10.263
Li Co Ag Te Se
2 2 2 2 4
direct
0.219 0.781 0.750 Li
0.781 0.219 0.250 Li
0.500 0.500 0.000 Co
0.500 0.500 0.500 Co
0.126 0.874 0.250 Ag
0.874 0.126 0.750 Ag
0.444 0.556 0.250 Te
0.556 0.444 0.750 Te
0.121 0.879 0.006 Se
0.121 0.879 0.494 Se
0.879 0.121 0.506 Se
0.879 0.121 0.994 Se
```

Raw total energy   -46.8 eV for the cell shown

***

10.
Entry from OQMD via LeMat-Bulk: a geometry-optimized LiCoTcAg structure (PBE).

Cell and atoms, written as POSCAR:
```
LiCoTcAg
1.0
0.000 2.961 2.961
2.961 0.000 2.961
2.961 2.961 0.000
Li Co Tc Ag
1 1 1 1
direct
0.000 0.000 0.000 Li
0.500 0.500 0.500 Co
0.250 0.250 0.250 Tc
0.750 0.750 0.750 Ag
```

Excess energy over the best structure of this formula in the dataset   0.00 eV/f.u.
Raw total energy   -20.8 eV for the cell shown

***

11.
Entry from OQMD via LeMat-Bulk: a geometry-optimized LiTlCoAg structure (PBE).

Cell and atoms, written as POSCAR:
```
LiTlCoAg
1.0
0.000 3.160 3.160
3.160 0.000 3.160
3.160 3.160 0.000
Li Tl Co Ag
1 1 1 1
direct
0.000 0.000 0.000 Li
0.250 0.250 0.250 Tl
0.500 0.500 0.500 Co
0.750 0.750 0.750 Ag
```

Excess energy over the best structure of this formula in the dataset   0.00 eV/f.u.
Raw total energy   -13.6 eV for the cell shown

***

12.
Entry from OQMD via LeMat-Bulk: a geometry-optimized Lu2CoAg structure (PBE).

Cell and atoms, written as POSCAR:
```
Lu2CoAg
1.0
0.000 3.357 3.357
3.357 0.000 3.357
3.357 3.357 0.000
Lu Co Ag
2 1 1
direct
0.000 0.000 0.000 Lu
0.250 0.250 0.250 Lu
0.750 0.750 0.750 Co
0.500 0.500 0.500 Ag
```

Raw total energy   -18.4 eV for the cell shown

***

Q: The highest raw total energy belongs to which entry?
A: LiTlCoAg

***

Q: Which formula does entry 3 have?
A: LiCoAgPb

***

Q: raw total energy of number 11 (LiTlCoAg)?
A: -13.6 eV for the cell shown

***

Q: The lowest raw total energy belongs to which entry?
A: LiCoAgS3